A relaxed Ac3ScIn12 crystal. Source: the Alexandria database, functional GGA-PBE.

Computed properties:
DOS(E_F)	8.6	states/eV/cell
spin magnetization	0.00	μB per formula unit
formation energy	-0.365	eV per atom
SG	P4/mmm
raw total energy	-3.585	eV/atom

Lattice parameters (Å, degrees): 4.839 4.839 19.268 90.00 90.00 90.00
Fractional positions:
Ac: 0.000 0.000 0.237
Ac: 0.000 0.000 0.500
Ac: 0.000 0.000 0.763
Sc: 0.000 0.000 0.000
In: 0.500 0.500 0.000
In: 0.500 0.500 0.250
In: 0.500 0.500 0.500
In: 0.500 0.500 0.750
In: 0.500 0.000 0.109
In: 0.500 0.000 0.369
In: 0.500 0.000 0.631
In: 0.500 0.000 0.891
In: 0.000 0.500 0.109
In: 0.000 0.500 0.369
In: 0.000 0.500 0.631
In: 0.000 0.500 0.891